1.
La3MoO7 | Alexandria via LeMat-Bulk | PBE+U | optimized geometry; energy = -8.12 eV/atom; space group = C222_1, No. 20; excess energy over the best structure of this formula in the dataset = 5.2 meV per atom
1.0
-0.2926 -6.7058 -0.7652
0.7125 1.5212 6.5435
-7.8166 0.2505 0.7928
La O Mo
6 14 2
Cartesian
-6.0004 -2.9425 0.2414
0.2105 -2.5992 2.8968
-5.7733 -5.7030 3.3176
-1.3998 -1.9915 6.3300
-1.6199 0.7689 3.2531
-3.6989 -2.4601 3.2779
-5.5180 -1.3029 4.4623
-3.6636 -3.0775 5.9747
-1.8788 -3.6311 2.1088
-7.4000 0.2450 2.7486
-2.1859 -6.1453 -0.1247
-3.7355 -1.8600 0.6038
-5.2108 1.2113 6.6959
-0.2568 -1.9680 0.2438
-1.6150 -1.4720 4.0269
-3.9204 0.1268 2.3999
-3.4731 -5.0677 4.1752
0.0061 -5.1725 3.8180
-5.7817 -3.4620 2.5442
-7.1436 -2.9624 6.3205
0.0000 -0.0002 0.0002
-3.4884 -5.0592 6.1745

***

2.
LaMoO5 | Alexandria via LeMat-Bulk | PBE+U | optimized geometry; energy = -7.29 eV/atom; space group = P4/nmm, No. 129; excess energy over the best structure of this formula in the dataset = 203.2 meV per atom
1.0
4.5627 0.0000 0.0000
0.0000 7.7928 0.0000
0.0000 0.0000 7.7928
O Mo La
10 2 2
Cartesian
3.3200 3.8964 0.0000
3.3050 0.0000 6.3174
1.2577 3.8964 2.4210
3.3050 0.0000 1.4754
1.2577 6.3174 0.0000
1.2577 3.8964 5.3718
3.3050 2.4210 3.8964
1.2577 1.4754 0.0000
1.2427 0.0000 3.8964
3.3050 5.3718 3.8964
2.2814 0.0000 0.0000
2.2814 3.8964 3.8964
3.5427 0.0000 3.8964
1.0200 3.8964 0.0000

***

3.
La4Mo6O19 | Alexandria via LeMat-Bulk | PBE+U | optimized geometry; energy = -7.65 eV/atom; space group = I23, No. 197
1.0
-3.9417 -1.0583 6.7978
-3.4160 -4.2847 -5.7305
7.5225 -2.3320 0.9162
O La Mo
19 4 6
Cartesian
-1.9536 -4.4453 0.7494
4.1755 -3.3801 -1.1186
1.3295 -2.1422 -1.5587
-4.9756 -3.6131 0.7217
0.7808 -3.8017 3.0128
-3.7181 -4.7663 2.7590
-2.3821 -1.7298 0.3455
2.7770 -4.4745 -3.2557
0.7418 -6.0609 -2.6210
3.3023 -4.3505 3.7844
-0.3218 -1.8556 5.1541
2.6426 -2.8490 1.1580
2.4216 -2.2927 5.2165
1.1593 -1.0976 2.4974
1.4503 -4.6752 -0.4227
-3.6617 -3.7051 -1.7249
0.0000 0.0000 0.0000
-0.8711 -3.6317 -1.5789
-1.5781 -2.5284 2.7492
5.1742 -1.6040 0.6302
-2.7112 -0.7279 4.6757
-2.3496 -2.9471 -3.9416
0.0515 -2.3960 0.6192
-3.1786 -3.1451 1.6113
-2.1993 -5.0555 -1.2010
2.3641 -2.6195 3.1844
3.3434 -4.5299 0.3722
1.0254 -4.0548 -2.2581
-0.8606 -3.6202 4.2415

***

4.
LaMoO2 | Alexandria via LeMat-Bulk | PBE+U | optimized geometry; energy = -6.69 eV/atom; space group = Fm-3m, No. 225; excess energy over the best structure of this formula in the dataset = 614.2 meV per atom
1.0
0.0000 3.0092 3.0092
3.0092 0.0000 3.0092
3.0092 3.0092 0.0000
O La Mo
2 1 1
Cartesian
1.5046 1.5046 1.5046
4.5138 4.5138 4.5138
3.0092 3.0092 3.0092
0.0000 0.0000 0.0000

***

5.
La7Mo7O30 | Alexandria via LeMat-Bulk | PBE+U | optimized geometry; energy = -7.75 eV/atom; space group = R-3, No. 148
1.0
-1.6903 -5.3652 -4.0602
6.4129 5.4016 -5.8563
4.2988 -4.5043 8.1135
Mo O La
7 30 7
Cartesian
2.6930 -0.8403 -2.0532
5.5788 2.6369 -3.8982
6.3285 -3.6276 0.2503
6.2888 -3.6363 -3.8067
-0.8451 -2.6826 -2.0301
3.4426 -7.1048 2.0952
2.7326 -0.8316 2.0037
1.9938 0.9131 -1.4904
4.6380 -4.2400 -0.2263
6.1534 -3.7335 2.0491
2.8681 -0.7344 -3.8520
7.0277 -5.3809 -0.3126
6.6804 -3.2286 -1.9198
3.1435 -2.6324 2.2228
5.8779 -1.8355 -4.0258
8.3634 -3.3126 0.5116
2.6110 -5.5067 1.9157
2.3410 -1.2393 0.1169
8.6551 -0.1251 0.8972
4.3834 -0.2279 -1.5767
4.9952 -6.3925 2.8272
6.4104 1.0388 -3.7187
6.2938 1.0675 0.2431
6.1776 -1.7765 0.1865
2.0276 -8.4587 1.8848
2.7276 -5.5354 -2.0461
4.0262 1.9246 -4.6301
0.6330 -5.6106 -0.3412
0.6580 -1.1553 -2.3145
0.3663 -4.3428 -2.7002
2.7360 -7.2033 4.0444
2.8438 -2.6914 -1.9894
6.2854 2.7355 -5.8474
3.4600 -2.4400 -6.1715
5.5614 -2.0279 4.3685
8.3885 1.1427 -1.4618
6.9938 3.9909 -3.6878
4.3716 -4.2069 3.8120
2.1658 -3.7263 0.1440
6.8556 -0.7416 -1.9470
0.0000 0.0000 0.0000
6.8141 -0.9400 2.4294
4.6499 -0.2609 -5.6150
2.2073 -3.5279 -4.2324

***

6.
La2MoO5 | Alexandria via LeMat-Bulk | PBE+U | optimized geometry; energy = -7.98 eV/atom; space group = Pnma, No. 62; excess energy over the best structure of this formula in the dataset = 0.0 meV per atom
1.0
6.1396 0.0000 0.0000
0.0000 6.9324 0.0000
0.0000 0.0000 9.9917
O La Mo
20 8 4
Cartesian
5.2671 1.7331 1.8218
0.8726 5.1993 8.1700
1.0143 1.7331 7.9547
5.1546 0.2316 9.2034
5.1546 3.2346 9.2034
4.0841 5.1993 7.0329
3.5898 5.1993 9.9371
3.9424 1.7331 6.8176
2.5499 1.7331 0.0547
0.5200 1.7331 5.0505
5.6197 5.1993 4.9412
0.9851 6.7009 0.7883
2.0555 1.7331 2.9588
2.1972 5.1993 3.1741
4.0549 0.2316 4.2076
2.0847 3.6978 5.7841
0.9851 3.6978 0.7883
2.0847 6.7009 5.7841
4.0549 3.2346 4.2076
5.1254 5.1993 2.0371
5.8766 0.0172 6.7022
5.8766 3.4490 6.7022
3.3328 0.0172 1.7064
3.3328 3.4490 1.7064
0.2630 6.9152 3.2895
0.2630 3.4834 3.2895
2.8068 6.9152 8.2853
2.8068 3.4834 8.2853
5.8270 5.1993 9.9891
0.3126 1.7331 0.0026
2.7572 1.7331 4.9985
3.3824 5.1993 4.9932

***

7.
La2Mo2O7 | Alexandria via LeMat-Bulk | PBE+U | optimized geometry; energy = -7.91 eV/atom; space group = Fd-3m, No. 227; excess energy over the best structure of this formula in the dataset = 0.0 meV per atom
1.0
-6.7288 -3.2254 1.3146
-2.1762 -6.0147 -4.0615
-0.3544 -6.8366 3.2470
O Mo La
14 4 4
Cartesian
-0.5542 -3.5243 1.3592
-4.6297 -8.0384 0.2501
-7.1443 -8.7452 -1.5127
-6.0728 -9.2287 2.7860
-3.3950 -10.8693 -0.3761
-5.8643 -5.2075 0.8762
-1.4504 -6.0013 -0.3134
-4.0755 -4.5141 -1.1092
-6.9445 -12.0576 0.3751
-3.1793 -2.0371 0.5634
-3.1866 -6.8481 -2.2859
-3.3252 -4.8526 1.9006
-2.1150 -7.3315 2.0128
-1.3045 -3.1858 -1.6506
-2.2455 -5.0169 -1.9682
-1.3346 -5.4279 1.6860
-1.1574 -2.0096 0.0625
-4.5218 -3.6223 0.7198
-5.7871 -10.0480 0.3126
-2.4227 -8.4353 -0.3447
-5.6099 -6.6297 -1.3109
-4.6990 -7.0406 2.3433

***

8.
La2MoO5 | Alexandria via LeMat-Bulk | PBE+U | optimized geometry; energy = -7.98 eV/atom; space group = I4/m, No. 87; excess energy over the best structure of this formula in the dataset = 6.1 meV per atom
1.0
7.0710 -0.0011 0.0000
-4.4441 5.5000 0.0000
-1.3135 -2.7495 6.3808
O La Mo
10 4 2
Cartesian
0.0695 1.5559 4.5665
-1.1667 -1.0318 4.5665
1.2440 1.1936 1.8144
-2.2220 2.7500 3.1904
2.2552 0.5117 5.7728
0.2945 4.8254 0.6080
2.4802 3.7812 1.8144
1.0190 -2.0759 5.7728
-0.9417 2.2377 0.6080
3.5355 -0.0005 3.1904
0.0835 3.3371 2.7403
3.7862 1.5682 1.3631
-2.4727 1.1813 5.0177
1.2300 -0.5876 3.6405
2.0905 4.3759 0.0000
0.5365 1.1230 0.0000

***

9.
LaMoO4 | Alexandria via LeMat-Bulk | PBE+U | optimized geometry; energy = -7.79 eV/atom; space group = P2_1/c, No. 14
1.0
-4.1766 2.6556 3.0979
-2.7575 -6.4204 -3.9663
1.9181 -5.1472 6.9984
O La Mo
16 4 4
Cartesian
-2.7844 -8.2768 3.7180
-0.9360 -7.3958 5.3467
-4.0949 -4.9386 0.2366
-4.4157 -5.7821 5.3590
-2.6761 -7.9177 -0.2151
-4.0801 -1.5162 0.7832
-2.0917 -2.9777 8.7951
-2.3400 -0.9943 6.3450
-2.9243 -5.9342 -2.6652
-0.6004 -3.1299 0.7709
-2.0367 -5.7594 2.8750
-1.3322 -5.6829 -0.4272
-2.2316 -0.6352 2.4120
-3.6839 -3.2291 6.5571
-2.9794 -3.1526 3.2549
-0.9211 -3.9733 5.8934
-1.7910 -0.8743 0.0331
-3.2251 -8.0377 6.0968
-4.3618 -5.1617 2.8688
-0.6542 -3.7503 3.2612
-3.9941 -1.6420 2.6776
-3.2721 -6.2135 -0.8089
-1.7440 -2.6985 6.9388
-1.0220 -7.2699 3.4523

***

10.
LaMoO5 | Alexandria via LeMat-Bulk | PBE+U | optimized geometry; energy = -7.31 eV/atom; space group = C2/c, No. 15; excess energy over the best structure of this formula in the dataset = 181.4 meV per atom
1.0
5.7472 0.0059 -0.0439
1.8290 5.4484 -0.0439
2.6649 1.9186 7.1085
La Mo O
2 2 10
Cartesian
4.6641 2.9155 1.7332
5.5770 4.4574 5.2875
0.0000 0.0000 0.0000
1.3324 0.9593 3.5543
2.7591 1.8965 2.7538
6.2348 4.3987 0.7126
3.0804 4.0085 0.2037
4.0063 2.9742 6.3081
4.0756 6.5429 5.2875
7.1607 3.3645 6.8170
7.4820 5.4764 4.2669
6.1111 2.6088 3.7580
6.1655 0.8300 1.7332
4.1300 4.7641 3.2627

***

11.
LaMoO4 | Alexandria via LeMat-Bulk | PBE+U | optimized geometry; energy = -7.78 eV/atom; space group = Pnc2, No. 30
1.0
-2.8074 4.1824 2.6384
-4.3117 -1.1374 -2.7848
-1.6412 -3.6434 4.0291
La Mo O
2 2 8
Cartesian
-4.8053 -1.2430 2.9851
-2.5810 -1.5125 -0.3487
-1.8578 1.0830 2.4341
-1.2748 -2.8299 3.1295
-4.9101 -2.1778 0.5855
-4.4129 0.1258 -1.1251
-6.9847 -0.6625 3.8463
-2.9356 2.4098 1.5420
-4.0797 1.0700 3.8606
-2.7829 -0.4104 1.7898
-3.1286 -2.9396 3.3581
-5.6892 0.4517 1.3855

***

12.
La3Mo2O10 | Alexandria via LeMat-Bulk | PBE+U | optimized geometry; energy = -7.87 eV/atom; space group = P1, No. 1
1.0
5.5798 -0.0382 -0.0237
2.5253 6.0072 -0.2348
2.7294 -0.0232 6.5484
O La Mo
10 3 2
Cartesian
3.9534 2.8802 3.1525
6.6508 5.3811 4.9661
6.6033 3.3380 3.0492
4.6183 4.0924 0.9489
4.1330 1.8816 5.7667
3.9950 5.3504 3.8001
6.2796 0.8088 1.5092
7.0104 1.4493 5.9451
7.4193 4.5224 0.0092
3.5171 0.0712 2.4466
8.3550 3.6313 5.1512
2.6585 2.4288 1.1414
5.3441 1.0894 3.8559
5.2034 4.5032 2.6148
2.8851 0.2324 6.3833